A plane-wave DFT calculation with PBE with a Hubbard U was carried out for a relaxed Ac3MnAl2O9 crystal.

a = 5.514 Å, b = 5.514 Å, c = 6.773 Å
α = 90.00°, β = 90.00°, γ = 120.00°
Fractional positions:
Ac 0.000 0.000 0.000
Ac 0.333 0.667 0.664
Ac 0.667 0.333 0.336
Mn 0.000 0.000 0.500
Al 0.333 0.667 0.162
Al 0.667 0.333 0.838
O 0.000 0.500 0.000
O 0.169 0.339 0.330
O 0.169 0.831 0.330
O 0.339 0.169 0.670
O 0.500 0.000 0.000
O 0.500 0.500 0.000
O 0.661 0.831 0.330
O 0.831 0.169 0.670
O 0.831 0.661 0.670

Properties
- V: 11.89 A^3/atom
- DOS at the Fermi energy: 5.0 states/eV/f.u.
- E: -115.6 eV/cell
- SG: P-3m1


A plane-wave DFT calculation with PBE with a Hubbard U was carried out for a relaxed Ac2MnAlO6 crystal.

a = 5.575 Å, b = 5.575 Å, c = 3.965 Å
α = 90.00°, β = 90.00°, γ = 90.00°
Fractional positions:
Ac 0.000 0.500 0.000
Ac 0.500 0.000 0.000
Mn 0.000 0.000 0.500
Al 0.500 0.500 0.500
O 0.000 0.000 0.000
O 0.258 0.258 0.500
O 0.258 0.742 0.500
O 0.500 0.500 0.000
O 0.742 0.258 0.500
O 0.742 0.742 0.500

Properties
- V: 12.32 A^3/atom
- DOS at the Fermi energy: 1.4 states/eV/f.u.
- E: -78.0 eV/cell
- SG: P4/mmm


A plane-wave DFT calculation with PBE with a Hubbard U was carried out for a relaxed Ac4MnAl3O12 crystal.

a = 6.752 Å, b = 6.752 Å, c = 6.752 Å
α = 109.47°, β = 109.47°, γ = 109.47°
Fractional positions:
Ac 0.000 0.000 0.500
Ac 0.000 0.500 0.000
Ac 0.500 0.000 0.000
Ac 0.500 0.500 0.500
Mn 0.000 0.000 0.000
Al 0.000 0.500 0.500
Al 0.500 0.000 0.500
Al 0.500 0.500 0.000
O 0.000 0.254 0.254
O 0.000 0.746 0.746
O 0.250 0.500 0.750
O 0.250 0.750 0.500
O 0.254 0.000 0.254
O 0.254 0.254 0.000
O 0.500 0.250 0.750
O 0.500 0.750 0.250
O 0.746 0.000 0.746
O 0.746 0.746 0.000
O 0.750 0.250 0.500
O 0.750 0.500 0.250

Properties
- V: 11.85 A^3/atom
- DOS at the Fermi energy: 8.5 states/eV/f.u.
- E: -154.4 eV/cell
- SG: Im-3m


Which value of V does entry 1 give? 11.89 A^3/atom


What is the DOS at the Fermi energy in the second record? 1.4 states/eV/f.u.


What is the E in the third record? -154.4 eV/cell